Density functional theory data (PBE) for a geometry-optimized ErAgSn3 structure.

The structure in extended XYZ format:
```
20
Lattice="6.186 0.000 0.000 0.000 6.218 0.000 0.000 0.000 12.752" Properties=species:S:1:pos:R:3 pbc="T T T"
Sn 4.640 5.273 0.970
Ag 0.000 1.554 1.451
Sn 3.093 4.663 6.362
Ag 3.093 1.554 1.451
Sn 4.640 0.073 9.383
Sn 1.547 6.145 3.369
Ag 3.093 4.663 11.300
Sn 4.640 3.182 3.369
Sn 0.000 1.554 6.390
Er 1.547 6.163 8.806
Sn 3.093 1.554 6.390
Er 1.547 3.055 3.946
Er 4.640 3.163 8.806
Sn 4.640 2.164 11.781
Sn 1.547 3.036 9.383
Er 4.640 0.054 3.946
Sn 1.547 0.944 11.781
Sn 1.547 4.053 0.970
Sn 0.000 4.663 6.362
Ag 0.000 4.663 11.300
```

The value obtained for the total energy is -4.197 eV per atom. The crystal system is orthorhombic. The symmetry is Pbcm (57).


Density functional theory data (PBE) for a geometry-optimized ErAg4Sn structure.

The structure in extended XYZ format:
```
6
Lattice="4.854 0.000 0.000 -2.427 4.203 0.000 0.000 0.000 6.172" Properties=species:S:1:pos:R:3 pbc="T T T"
Sn 0.000 0.000 0.000
Er 0.000 0.000 3.086
Ag 2.427 1.401 1.564
Ag 0.000 2.802 1.564
Ag 0.000 2.802 4.608
Ag 2.427 1.401 4.608
```

The energy above the lowest structure with this stoichiometry comes out at 0.0 meV per atom. The crystal system is hexagonal. The symmetry is P6/mmm (191).


Density functional theory data (PBE) for a geometry-optimized ErAgSn2 structure.

The structure in extended XYZ format:
```
4
Lattice="3.409 0.000 0.000 1.704 2.952 0.000 1.704 0.984 10.641" Properties=species:S:1:pos:R:3 pbc="T T T"
Ag 3.409 1.968 5.321
Er 0.000 0.000 0.000
Sn 1.704 0.984 7.559
Sn 5.113 2.952 3.083
```

The energy above the lowest structure with this stoichiometry comes out at 490.1 meV per atom. The crystal system is trigonal. The symmetry is R-3m (166).


Density functional theory data (PBE) for a geometry-optimized Er7Ag4Sn structure.

The structure in extended XYZ format:
```
12
Lattice="5.649 0.000 0.000 2.824 8.210 1.328 2.824 1.476 7.076" Properties=species:S:1:pos:R:3 pbc="T T T"
Er 2.824 1.776 3.922
Er 2.824 5.272 2.537
Er 5.649 3.049 2.155
Ag 5.649 6.114 3.450
Sn 0.000 0.000 0.000
Ag 8.473 6.905 7.517
Er 8.473 4.414 5.867
Ag 2.824 2.781 0.887
Er 5.649 6.637 6.248
Er 8.473 7.910 4.482
Er 2.824 0.000 0.000
Ag 5.649 3.572 4.953
```

The value obtained for the total energy is -4.084 eV per atom. The crystal system is monoclinic. The symmetry is C2/m (12).